(1)
# Pm2Hg2Rh

Pm2Hg2Rh after structural relaxation (PBE, the Alexandria database).

Raw total energy (eV per formula unit): -20.2
DFT formation energy (meV per atom): -539
Total magnetic moment (μB/f.u.): 0.00

The structure in POSCAR format:
```
Pm2Hg2Rh
1.0
3.880 0.003 0.730
2.023 6.119 -0.101
-0.039 -0.697 10.882
Pm Hg Rh
4 4 2
Direct
0.287 0.814 0.613 Pm
0.075 0.741 0.108 Pm
0.713 0.186 0.387 Pm
0.925 0.259 0.892 Pm
0.008 0.602 0.382 Hg
0.328 0.208 0.135 Hg
0.992 0.398 0.618 Hg
0.672 0.792 0.865 Hg
0.415 0.873 0.296 Rh
0.585 0.127 0.704 Rh
```

---

(2)
# PmHg5Rh

PmHg5Rh after structural relaxation (PBE, the Alexandria database).

Raw total energy (eV per formula unit): -15.1
DFT formation energy (meV per atom): -207
Total magnetic moment (μB/f.u.): 0.00

The structure in POSCAR format:
```
PmHg5Rh
1.0
-0.898 -3.565 3.101
3.724 1.408 2.697
-4.421 4.417 3.798
Pm Hg Rh
1 5 1
Direct
0.000 0.000 0.000 Pm
0.500 0.000 0.703 Hg
0.000 0.500 0.703 Hg
0.500 0.500 0.000 Hg
0.000 0.500 0.297 Hg
0.500 0.000 0.297 Hg
0.000 0.000 0.500 Rh
```

---

(3)
# Pm5Hg2Rh

Pm5Hg2Rh after structural relaxation (PBE, the Alexandria database).

Raw total energy (eV per formula unit): -34.3
DFT formation energy (meV per atom): -327
Total magnetic moment (μB/f.u.): 0.00

The structure in POSCAR format:
```
Pm5Hg2Rh
1.0
-6.579 -1.150 2.604
-0.869 -7.327 -5.418
5.051 2.253 3.878
Pm Hg Rh
5 2 1
Direct
0.755 0.202 0.999 Pm
0.244 0.201 0.999 Pm
0.755 0.798 0.999 Pm
0.244 0.797 0.999 Pm
0.619 0.619 0.239 Pm
0.212 0.712 0.425 Hg
0.786 0.286 0.571 Hg
0.162 0.161 0.324 Rh
```

---

(4)
# Pm8HgRh2

Pm8HgRh2 after structural relaxation (PBE, the Alexandria database).

Raw total energy (eV per formula unit): -56.3
DFT formation energy (meV per atom): -296
Total magnetic moment (μB/f.u.): 0.00

The structure in POSCAR format:
```
Pm8HgRh2
1.0
-1.180 -4.709 -2.994
4.791 3.718 -5.424
3.806 -3.484 6.291
Pm Hg Rh
8 1 2
Direct
0.933 0.915 0.666 Pm
0.933 0.666 0.915 Pm
0.311 0.609 0.609 Pm
0.500 0.760 0.240 Pm
0.500 0.240 0.760 Pm
0.689 0.391 0.391 Pm
0.067 0.334 0.085 Pm
0.067 0.085 0.334 Pm
0.500 0.000 0.000 Hg
0.000 0.291 0.709 Rh
0.000 0.709 0.291 Rh
```

---

(5)
# Pm2HgRh

Pm2HgRh after structural relaxation (PBE, the Alexandria database).

Raw total energy (eV per formula unit): -19.5
DFT formation energy (meV per atom): -595
Total magnetic moment (μB/f.u.): 0.00

The structure in POSCAR format:
```
Pm2HgRh
1.0
-1.587 -2.928 1.343
2.177 -2.079 -1.958
5.081 -0.109 5.765
Rh Hg Pm
1 1 2
Direct
0.500 0.500 0.000 Rh
0.500 0.500 0.500 Hg
0.000 0.000 0.779 Pm
0.000 0.000 0.221 Pm
```

---

(6)
# PmHgRh

PmHgRh after structural relaxation (PBE, the Alexandria database).

Raw total energy (eV per formula unit): -13.6
DFT formation energy (meV per atom): -405
Total magnetic moment (μB/f.u.): 0.00

The structure in POSCAR format:
```
PmHgRh
1.0
3.616 0.000 0.000
0.000 4.696 0.000
0.000 -2.348 4.067
Rh Hg Pm
1 1 1
Direct
0.168 0.333 0.667 Rh
0.166 0.000 0.000 Hg
0.666 0.667 0.333 Pm
```

---

(7)
# Pm4HgRh2

Pm4HgRh2 after structural relaxation (PBE, the Alexandria database).

Raw total energy (eV per formula unit): -37.9
DFT formation energy (meV per atom): -550
Total magnetic moment (μB/f.u.): 0.00

The structure in POSCAR format:
```
Pm4HgRh2
1.0
-0.607 -3.356 -6.274
1.725 -5.095 4.710
-7.814 3.016 2.132
Pm Hg Rh
8 2 4
Direct
0.002 0.234 0.393 Pm
0.423 0.509 0.274 Pm
0.881 0.645 0.671 Pm
0.723 0.131 0.694 Pm
0.399 0.985 0.226 Pm
0.279 0.187 0.806 Pm
0.460 0.724 0.829 Pm
0.859 0.592 0.107 Pm
0.209 0.781 0.488 Hg
0.970 0.043 0.012 Hg
0.463 0.339 0.568 Rh
0.806 0.866 0.424 Rh
0.632 0.192 0.077 Rh
0.144 0.521 0.931 Rh
```

---

(8)
# Pm5HgRh2

Pm5HgRh2 after structural relaxation (PBE, the Alexandria database).

Raw total energy (eV per formula unit): -41.2
DFT formation energy (meV per atom): -306
Total magnetic moment (μB/f.u.): 0.00

The structure in POSCAR format:
```
Pm5HgRh2
1.0
-1.388 -2.662 -4.971
4.584 -3.544 4.009
-10.922 -6.650 6.610
Pm Hg Rh
10 2 4
Direct
0.947 0.894 0.887 Pm
0.947 0.894 0.613 Pm
0.343 0.686 0.451 Pm
0.343 0.686 0.049 Pm
0.780 0.561 0.250 Pm
0.220 0.439 0.750 Pm
0.657 0.314 0.549 Pm
0.657 0.314 0.951 Pm
0.053 0.106 0.113 Pm
0.053 0.106 0.387 Pm
0.761 0.522 0.750 Hg
0.239 0.478 0.250 Hg
0.847 0.695 0.443 Rh
0.847 0.695 0.057 Rh
0.153 0.305 0.557 Rh
0.153 0.305 0.943 Rh
```